1.
First-principles (PBE-GGA) data for a relaxed TlBi6Pb12 crystal, as listed in Alexandria.

Geometry as POSCAR:
```
TlBi6Pb12
1.0
8.559 -0.378 -0.004
-0.004 8.567 -0.004
-0.395 -0.378 8.549
Pb Bi Tl
12 6 1
direct
0.980 0.621 0.852
0.852 0.980 0.621
0.379 0.148 0.020
0.020 0.379 0.148
0.468 0.203 0.546
0.621 0.852 0.980
0.546 0.468 0.203
0.797 0.454 0.532
0.454 0.532 0.797
0.148 0.020 0.379
0.532 0.797 0.454
0.203 0.546 0.468
0.285 0.739 0.133
0.867 0.715 0.261
0.133 0.285 0.739
0.715 0.261 0.867
0.261 0.867 0.715
0.739 0.133 0.285
0.000 0.000 0.000
```

E in eV/atom: -3.627
Calculated formation energy in eV/atom: 0.065

2.
First-principles (PBE-GGA) data for a relaxed LiScIr3 crystal, as listed in Alexandria.

Geometry as POSCAR:
```
LiScIr3
1.0
4.192 0.000 0.000
0.000 4.192 0.000
0.000 0.000 4.192
Ir Sc Li
3 1 1
direct
0.500 0.000 0.000
0.000 0.500 0.000
0.000 0.000 0.500
0.500 0.500 0.500
0.000 0.000 0.000
```

E in eV/atom: -6.826
Calculated formation energy in eV/atom: 0.140

3.
First-principles (PBE-GGA) data for a relaxed Pr4Nd5Sc2 crystal, as listed in Alexandria.

Geometry as POSCAR:
```
Pr4Nd5Sc2
1.0
3.503 0.000 0.000
0.000 9.816 0.000
-1.752 -4.908 11.172
Nd Sc Pr
5 2 4
direct
0.160 0.377 0.320
0.840 0.057 0.680
0.840 0.623 0.680
0.160 0.943 0.320
0.500 0.000 0.000
0.731 0.731 0.463
0.269 0.269 0.537
0.000 0.292 0.000
0.597 0.597 0.194
0.403 0.403 0.806
0.000 0.708 0.000
```

E in eV/atom: -4.794
Calculated formation energy in eV/atom: 0.263

4.
First-principles (PBE-GGA) data for a relaxed HoGa2As crystal, as listed in Alexandria.

Geometry as POSCAR:
```
HoGa2As
1.0
4.604 0.000 0.000
0.000 4.174 0.000
0.000 0.000 4.174
Ga As Ho
2 1 1
direct
0.000 0.000 0.500
0.000 0.500 0.000
0.500 0.500 0.500
0.500 0.000 0.000
```

E in eV/atom: -4.385
Calculated formation energy in eV/atom: -0.565

no.,magnetization (Bohr magnetons per cell)
1,0.000
2,0.000
3,0.000
4,0.000